(1)
## PaVGe (PBE-GGA)

Data for a geometry-optimized PaVGe structure.

a b c (Å): 4.3302 3.4993 7.4032
angles (deg): 90.00 95.69 90.00
Last column: nearest neighbours and their distance in Å.
Atoms (fractional coordinates):
Pa  0.1809  0.7500  0.1381  5 Ge 2.95-3.15, 2 Pa 3.01, 2 V 3.05
Pa  0.8191  0.2500  0.8619  5 Ge 2.95-3.15, 2 Pa 3.01, 2 V 3.05
Ge  0.7019  0.2500  0.2748  4 V 2.53-2.64
Ge  0.2981  0.7500  0.7252  4 V 2.53-2.64
V  0.2386  0.2500  0.4773  4 Ge 2.53-2.64, 2 V 2.75
V  0.7614  0.7500  0.5227  4 Ge 2.53-2.64, 2 V 2.75

* SG: No. 11
* formation energy: -323 meV per atom

=====

(2)
## BaTcSbPb2 (PBE-GGA)

Data for a geometry-optimized BaTcSbPb2 structure.

a b c (Å): 6.2229 5.2148 6.2229
angles (deg): 90.00 90.00 90.00
Last column: nearest neighbours and their distance in Å.
Atoms (fractional coordinates):
Pb  0.5000  0.0000  0.0000  2 Ba 3.11
Pb  0.0000  0.0000  0.5000  2 Ba 3.11
Tc  0.0000  0.5000  0.0000  2 Ba 2.61
Ba  0.0000  0.0000  0.0000  2 Tc 2.61
Sb  0.5000  0.5000  0.5000  8 Pb 4.06, 4 Tc 4.40

* SG: No. 123
* total energy: -3.16 eV/atom

=====

(3)
## Rb3TbDy2S6 (PBE-GGA)

Data for a geometry-optimized Rb3TbDy2S6 structure.

a b c (Å): 7.0770 7.0770 8.0450
angles (deg): 98.43 98.43 120.00
Last column: nearest neighbours and their distance in Å.
Atoms (fractional coordinates):
S  0.0640  0.3985  0.1920  2 Dy 2.78, 1 Tb 2.79
S  0.9360  0.6015  0.8080  2 Dy 2.78, 1 Tb 2.79
S  0.6015  0.9360  0.8080  2 Dy 2.78, 1 Tb 2.79
S  0.3985  0.0640  0.1920  2 Dy 2.78, 1 Tb 2.79
S  0.7296  0.7296  0.1920  2 Dy 2.78, 1 Tb 2.79
S  0.2704  0.2704  0.8080  2 Dy 2.78, 1 Tb 2.79
Rb  0.8334  0.1666  0.5000  6 S 3.34-3.35
Rb  0.5000  0.5000  0.5000  6 S 3.34-3.35
Rb  0.1666  0.8334  0.5000  6 S 3.34-3.35
Tb  0.0000  0.0000  0.0000  6 S 2.79
Dy  0.3333  0.6667  0.0000  6 S 2.78
Dy  0.6667  0.3333  0.0000  6 S 2.78

* SG: No. 12
* total energy: -5.31 eV/atom